(1)
Zr2CoN | Alexandria | GGA-PBE | optimized geometry; Fermi-level density of states = 0.625 states/eV/atom; SG = No. 166; energy relative to the elements, uncorrected = -776 meV/atom
1.0
-2.4933 1.0580 1.7881
-1.9700 -2.1279 1.4575
2.3243 -0.2772 6.3504
N Zr Co
1 2 1
Cartesian
0.0000 0.0000 0.0000
-1.4443 -1.0070 7.4180
-0.6947 -0.3401 2.1779
-1.0695 -0.6736 4.7980

***

(2)
Zr2CoN | Alexandria | GGA-PBE | optimized geometry; Fermi-level density of states = 0.134 states/eV/atom; SG = No. 122; energy relative to the elements, uncorrected = -503 meV/atom
1.0
6.0039 0.0000 0.0000
0.0000 6.0039 0.0000
3.0019 3.0019 3.7597
Co N Zr
2 2 4
Cartesian
0.0000 0.0000 0.0000
6.0039 3.0019 1.8798
3.0019 3.0019 0.0000
3.0019 6.0039 1.8798
7.5048 7.1982 2.8198
1.8076 4.5029 0.9399
4.5029 4.8095 2.8198
4.1963 1.5010 0.9399